Here is a relaxed Cr3B12Rh25 crystal from Alexandria. Energies are from GGA-PBEsol.

## Properties
space group	P1 (1)
energy of formation from the pure elements	-288	meV/atom
E	-329.901	eV/f.u.
Fermi-level density of states	40.656	states/eV/f.u.

Unit cell a=4.7297 b=7.3899 c=12.8130 alpha=90.09 beta=90.24 gamma=90.07
With the nearest neighbours (Å) after each atom.
Positions (direct):
Cr 0.0000 0.0000 0.0000  2 B 2.20-2.24
Cr 0.0016 0.1763 0.8236  2 B 2.19-2.24
Cr 0.0055 0.6826 0.3173  2 B 2.23-2.25
B 0.2190 0.1824 0.4661  6 Rh 2.09-2.20
B 0.2263 0.6846 0.9664  6 Rh 2.10-2.18
B 0.2264 0.9672 0.6821  6 Rh 2.08-2.18
B 0.2272 0.4691 0.1824  6 Rh 2.09-2.20
B 0.2277 0.3974 0.6831  6 Rh 2.08-2.18
B 0.2280 0.8976 0.1804  6 Rh 2.09-2.16
B 0.7104 0.9017 0.3675  5 Rh 2.07-2.19, 1 Cr 2.23
B 0.7108 0.9588 0.8675  4 Rh 2.08-2.19, 2 Cr 2.19-2.20
B 0.7127 0.1830 0.0903  5 Rh 2.07-2.19, 1 Cr 2.24
B 0.7130 0.4034 0.8683  5 Rh 2.07-2.20, 1 Cr 2.24
B 0.7125 0.4607 0.3683  5 Rh 2.07-2.20, 1 Cr 2.25
B 0.7205 0.6809 0.5883  6 Rh 2.08-2.22
Rh 0.2967 0.8757 0.8413  3 B 2.08-2.17
Rh 0.3051 0.4929 0.8401  3 B 2.07-2.18
Rh 0.3056 0.1807 0.1498  3 B 2.07-2.20
Rh 0.3063 0.9937 0.3368  3 B 2.07-2.20
Rh 0.3072 0.3701 0.3375  3 B 2.07-2.20
Rh 0.3179 0.6828 0.6537  3 B 2.08-2.18
Rh 0.4750 0.9959 0.5482  2 B 2.10-2.11
Rh 0.4761 0.3677 0.5491  2 B 2.10-2.11
Rh 0.4772 0.6815 0.4428  3 B 2.19-2.20
Rh 0.4795 0.4971 0.0482  2 B 2.11
Rh 0.4820 0.1806 0.9429  3 B 2.18-2.20
Rh 0.4943 0.8749 0.0460  2 B 2.14-2.15
Rh 0.4954 0.1821 0.7387  2 B 2.15-2.16
Rh 0.4983 0.6842 0.2375  2 B 2.16
Rh 0.8149 0.1805 0.3994  3 B 2.09-2.16
Rh 0.8173 0.6875 0.9023  3 B 2.10-2.20
Rh 0.8204 0.3746 0.2153  3 B 2.09-2.19
Rh 0.8203 0.8745 0.7142  3 B 2.08-2.20
Rh 0.8207 0.9912 0.2110  3 B 2.09-2.18
Rh 0.8231 0.4898 0.7161  3 B 2.08-2.22
Rh 0.9711 0.8627 0.4978  2 B 2.09-2.14
Rh 0.9728 0.5012 0.4983  2 B 2.09-2.13
Rh 0.9744 0.3518 0.9992  2 B 2.11-2.12
Rh 0.9905 0.1825 0.6120  3 B 2.14-2.16
Rh 0.9956 0.6848 0.1095  3 B 2.12-2.15